Entry 1:
Entry from the Alexandria database: SbPPt2 after structural relaxation (PBE).

The calculation puts the calculated density at 13022 kg/m³. For the formation energy from raw total energies, the calculation gives 0.42 eV per formula unit.

a = 5.1801 Å, b = 5.1801 Å, c = 5.1801 Å
α = 134.67°, β = 134.67°, γ = 66.05°
Sites, in units of the cell vectors:
P (0.7500, 0.2500, 0.5000)
Pt (0.2500, 0.7500, 0.5000)
Pt (0.0000, 0.0000, 0.0000)
Sb (0.5000, 0.5000, 0.0000)

Entry 2:
Entry from the Alexandria database: SbP2Pt after structural relaxation (PBE).

The calculation puts the calculated density at 8912 kg/m³. For the formation energy from raw total energies, the calculation gives 1.75 eV per formula unit.

a = 3.1074 Å, b = 4.8593 Å, c = 4.6744 Å
α = 90.00°, β = 90.00°, γ = 90.00°
Sites, in units of the cell vectors:
Sb (0.0000, 0.5000, 0.5000)
P (0.0000, 0.0000, 0.0000)
P (0.5000, 0.5000, 0.0000)
Pt (0.5000, 0.0000, 0.5000)